Record 1
Below is an optimized crystal structure of ErPuBiO6, with properties calculated at the PBE-GGA level.

CIF file:
```
data_ErPuBiO6
_cell_length_a 5.7566
_cell_length_b 5.7566
_cell_length_c 9.6157
_cell_angle_alpha 90.00
_cell_angle_beta 90.00
_cell_angle_gamma 120.00
_symmetry_space_group_name_H-M 'P -3 1 c'
_symmetry_Int_Tables_number 163
_symmetry_space_group_name_Hall '-P 3 2c'
loop_
_atom_site_label
_atom_site_fract_x
_atom_site_fract_y
_atom_site_fract_z
Er1 0.3333 0.6667 0.2500
Pu1 0.3333 0.6667 0.7500
Bi1 0.0000 0.0000 0.0000
O1 0.0227 0.3631 0.6359
```



Record 2
Below is an optimized crystal structure of AgSbOF2, with properties calculated at the PBE-GGA level.

CIF file:
```
data_AgSbOF2
_cell_length_a 4.488
_cell_length_b 4.488
_cell_length_c 4.257
_cell_angle_alpha 90.00
_cell_angle_beta 90.00
_cell_angle_gamma 90.00
_symmetry_space_group_name_H-M 'P 4/m m m'
_symmetry_Int_Tables_number 123
_symmetry_space_group_name_Hall '-P 4 2'
loop_
_atom_site_label
_atom_site_fract_x
_atom_site_fract_y
_atom_site_fract_z
Ag1 0.000 0.000 0.000
Sb1 0.500 0.500 0.500
O1 0.500 0.500 0.000
F1 0.000 0.500 0.500
```



Record 3
# Th3ZrGe6 (PBE-GGA, optimized geometry)
data_Th3ZrGe6
_cell_length_a 11.6172
_cell_length_b 11.6172
_cell_length_c 11.6901
_cell_angle_alpha 90.00
_cell_angle_beta 90.00
_cell_angle_gamma 120.00
_symmetry_space_group_name_H-M 'R -3 c'
_symmetry_Int_Tables_number 167
_symmetry_space_group_name_Hall '-R 3 2"c'
loop_
_atom_site_label
_atom_site_fract_x
_atom_site_fract_y
_atom_site_fract_z
Th1 0.0000 0.4331 0.2500
Zr1 0.0000 0.0000 0.0000
Ge1 0.0674 0.2104 0.3427
# ΔE_f	-0.62	eV per atom



Record 4
Below is an optimized crystal structure of TePS2I, with properties calculated at the PBE-GGA level.

CIF file:
```
data_TePS2I
_cell_length_a 4.976
_cell_length_b 4.976
_cell_length_c 5.491
_cell_angle_alpha 90.00
_cell_angle_beta 90.00
_cell_angle_gamma 90.00
_symmetry_space_group_name_H-M 'P 4/m m m'
_symmetry_Int_Tables_number 123
_symmetry_space_group_name_Hall '-P 4 2'
loop_
_atom_site_label
_atom_site_fract_x
_atom_site_fract_y
_atom_site_fract_z
Te1 0.000 0.000 0.000
P1 0.000 0.000 0.500
S1 0.000 0.500 0.000
I1 0.500 0.500 0.500
```



Record 5
# Mg2InAu (PBE-GGA, optimized geometry)
data_Mg2InAu
_cell_length_a 3.2899
_cell_length_b 3.2899
_cell_length_c 27.4889
_cell_angle_alpha 90.00
_cell_angle_beta 90.00
_cell_angle_gamma 120.00
_symmetry_space_group_name_H-M 'R -3 m'
_symmetry_Int_Tables_number 166
_symmetry_space_group_name_Hall '-R 3 2"'
loop_
_atom_site_label
_atom_site_fract_x
_atom_site_fract_y
_atom_site_fract_z
Mg1 0.0000 0.0000 0.2418
In1 0.0000 0.0000 0.0000
Au1 0.0000 0.0000 0.5000
# ΔE_f	-0.26	eV per atom



Record 6
# NpTiIr2 (PBE-GGA, optimized geometry)
data_NpTiIr2
_cell_length_a 4.207
_cell_length_b 4.207
_cell_length_c 3.878
_cell_angle_alpha 90.00
_cell_angle_beta 90.00
_cell_angle_gamma 90.00
_symmetry_space_group_name_H-M 'P 4/m m m'
_symmetry_Int_Tables_number 123
_symmetry_space_group_name_Hall '-P 4 2'
loop_
_atom_site_label
_atom_site_fract_x
_atom_site_fract_y
_atom_site_fract_z
Np1 0.000 0.000 0.000
Ti1 0.500 0.500 0.000
Ir1 0.000 0.500 0.500
# ΔE_f	-0.41	eV per atom



Total DFT energy (no corrections) for every record listed, in sequence, given in eV/atom: -8.27; -4.33; -6.47; -2.81; -2.57; -10.05.